This record from the Alexandria database describes a relaxed structure of Al2FeBiH. The functional is PBEsol.

a = 4.496 Å, b = 4.496 Å, c = 4.780 Å
α = 90.00°, β = 90.00°, γ = 90.00°
Element x y z (fractional)
Al 0.000 0.500 0.000
Al 0.500 0.000 0.000
Bi 0.000 0.000 0.500
Fe 0.000 0.000 0.000
H 0.500 0.500 0.500

Values from the calculation:
Its density is 5.50 g cm⁻³. As for the symmetry: P4/mmm (123). For the total magnetization, the calculation gives 0.00 μB/f.u. Its total energy is -4.51 eV per atom.



This record from the Alexandria database describes a relaxed structure of NiSn3Pd. The functional is PBEsol.

a = 5.055 Å, b = 5.055 Å, c = 5.055 Å
α = 90.00°, β = 90.00°, γ = 90.00°
Element x y z (fractional)
Pd 0.000 0.000 0.000
Sn 0.000 0.000 0.500
Sn 0.500 0.000 0.000
Sn 0.000 0.500 0.000
Ni 0.500 0.500 0.500

Values from the calculation:
Its density is 6.70 g cm⁻³. As for the symmetry: Pm-3m (221). For the total magnetization, the calculation gives 0.00 μB/f.u. Its total energy is -4.38 eV per atom.



This record from the Alexandria database describes a relaxed structure of BeO. The functional is PBEsol.

a = 2.689 Å, b = 2.689 Å, c = 2.689 Å
α = 60.00°, β = 60.00°, γ = 60.00°
Element x y z (fractional)
Be 0.000 0.000 0.000
O 0.250 0.250 0.250

Values from the calculation:
Its density is 3.02 g cm⁻³. As for the symmetry: F-43m (216). For the total magnetization, the calculation gives 0.00 μB/f.u. As for the uncorrected formation energy: -2.779 eV/atom. Its total energy is -7.40 eV per atom. Its offset from the most stable computed form is 7 meV/atom.



This record from the Alexandria database describes a relaxed structure of RbAsRu2Se. The functional is PBEsol.

a = 4.608 Å, b = 4.608 Å, c = 5.240 Å
α = 90.00°, β = 90.00°, γ = 90.00°
Element x y z (fractional)
Se 0.000 0.000 0.000
Ru 0.500 0.000 0.000
Ru 0.000 0.500 0.000
Rb 0.500 0.500 0.500
As 0.000 0.000 0.500

Values from the calculation:
Its density is 6.59 g cm⁻³. As for the symmetry: P4/mmm (123). For the total magnetization, the calculation gives 0.55 μB/f.u. As for the uncorrected formation energy: 1.001 eV/atom. Its total energy is -5.06 eV per atom.



This record from the Alexandria database describes a relaxed structure of SrMn2Tc. The functional is PBEsol.

a = 4.605 Å, b = 4.605 Å, c = 4.605 Å
α = 60.00°, β = 60.00°, γ = 60.00°
Element x y z (fractional)
Mn 0.250 0.250 0.250
Mn 0.750 0.750 0.750
Tc 0.000 0.000 0.000
Sr 0.500 0.500 0.500

Values from the calculation:
Its density is 7.11 g cm⁻³. As for the symmetry: Fm-3m (225). For the total magnetization, the calculation gives 5.65 μB/f.u. Its total energy is -7.10 eV per atom. Its offset from the most stable computed form is 432 meV/atom.



This record from the Alexandria database describes a relaxed structure of AlPtRh2. The functional is PBEsol.

a = 2.747 Å, b = 4.605 Å, c = 4.700 Å
α = 102.84°, β = 106.99°, γ = 90.00°
Element x y z (fractional)
Al 0.500 0.000 0.000
Rh 0.762 0.756 0.524
Rh 0.238 0.244 0.476
Pt 0.000 0.500 0.000

Values from the calculation:
Its density is 12.85 g cm⁻³. As for the symmetry: C2/m (12). For the total magnetization, the calculation gives 0.00 μB/f.u. Its total energy is -7.34 eV per atom.



This record from the Alexandria database describes a relaxed structure of TcRh. The functional is PBEsol.

a = 2.702 Å, b = 4.274 Å, c = 4.712 Å
α = 90.00°, β = 90.00°, γ = 90.00°
Element x y z (fractional)
Tc 0.000 0.500 0.912
Tc 0.500 0.000 0.088
Rh 0.000 0.000 0.581
Rh 0.500 0.500 0.419

Values from the calculation:
Its density is 12.26 g cm⁻³. As for the symmetry: Pmmn (59). For the total magnetization, the calculation gives 0.00 μB/f.u. Its total energy is -9.84 eV per atom. Its offset from the most stable computed form is 58 meV/atom.



This record from the Alexandria database describes a relaxed structure of SrMn2Co. The functional is PBEsol.

a = 2.780 Å, b = 3.446 Å, c = 6.769 Å
α = 90.00°, β = 90.00°, γ = 90.00°
Element x y z (fractional)
Mn 0.000 0.000 0.652
Mn 0.000 0.000 0.348
Sr 0.500 0.500 0.000
Co 0.500 0.500 0.500

Values from the calculation:
Its density is 6.57 g cm⁻³. As for the symmetry: Pmmm (47). For the total magnetization, the calculation gives 4.11 μB/f.u. Its total energy is -6.51 eV per atom. Its offset from the most stable computed form is 0 meV/atom.



Calculated values (Å³/atom) of volume for the records, taken in order: 19.3, 25.8, 6.9, 22.3, 17.3, 13.8, 13.6, 16.2.